A geometry-optimized K2CoF4 structure. Source: Alexandria via LeMat-Bulk, functional PBE+U.

a b c (Å): 7.227 7.227 7.227
angles (deg): 146.76 146.76 47.72
Sites, in units of the cell vectors:
K  0.145  0.145  0.000
K  0.855  0.855  0.000
Co  0.500  0.500  0.000
F  0.000  0.500  0.500
F  0.345  0.345  0.000
F  0.500  0.000  0.500
F  0.655  0.655  0.000

SG: No. 139
Electronic total energy: -4.6504 eV per atom
D(E_F): 0.0 states/eV/f.u.
ρ: 3.13 g/cm3